! LiTiZnH, optimized geometry, DFT PBE; values from VASP
&SYSTEM
  ibrav = 0, nat = 4, ntyp = 4
/
ATOMIC_SPECIES
Li 6.94 Li.upf
Ti 47.87 Ti.upf
Zn 65.41 Zn.upf
H 1.01 H.upf
ATOMIC_POSITIONS angstrom
Li -0.955 -0.974 1.839
Ti -1.895 -0.231 4.476
Zn -2.311 1.050 2.011
H -1.708 -1.741 3.288
CELL_PARAMETERS angstrom
-0.049 3.352 1.749
-2.793 0.561 -1.154
-1.908 -1.945 3.674
! Symmetry ... Pmm2, No. 25
! D(E_F) ... 0.4419 states/eV per atom
! Electronic total energy ... -14.1 eV for the cell shown
! Magnetic moment ... 0.00 μB/cell
! Polymorph energy (0 for the lowest one) ... 282 meV per atom